# 1
# YTl2CoRu (PBE-GGA, optimized geometry)
data_YTl2CoRu
_chemical_formula_sum 'Y1 Tl2 Co1 Ru1'
_space_group_name_H-M_alt 'P 4/m m m'
_space_group_IT_number 123
_space_group_name_Hall '-P 4 2'
_cell_length_a 4.889
_cell_length_b 4.889
_cell_length_c 4.763
_cell_angle_alpha 90.00
_cell_angle_beta 90.00
_cell_angle_gamma 90.00
loop_
_atom_site_label
_atom_site_fract_x
_atom_site_fract_y
_atom_site_fract_z
_atom_site_occupancy
Y1 0.000 0.000 0.000 1
Tl1 0.000 0.500 0.500 1
Co1 0.500 0.500 0.500 1
Ru1 0.500 0.500 0.000 1
# Energy of formation (eV/atom): 0.50

# 2
# LaIr2Se (PBE-GGA, optimized geometry)
data_LaIr2Se
_chemical_formula_sum 'La1 Ir2 Se1'
_space_group_name_H-M_alt 'P 1 m 1'
_space_group_IT_number 6
_cell_length_a 4.110
_cell_length_b 3.866
_cell_length_c 5.465
_cell_angle_alpha 90.00
_cell_angle_beta 100.65
_cell_angle_gamma 90.00
loop_
_space_group_symop_operation_xyz
'x,y,z'
'x,-y,z'
loop_
_atom_site_label
_atom_site_fract_x
_atom_site_fract_y
_atom_site_fract_z
_atom_site_occupancy
La1 0.000 0.000 0.000 1
Ir1 0.538 0.000 0.440 1
Ir2 0.940 0.500 0.391 1
Se1 0.420 0.500 0.724 1
# Formation energy without anion corrections (meV/atom): -411.8
# Distance to the lowest polymorph of the same formula (eV/f.u.): 0.57

# 3
# ZnCd4Hg (PBE-GGA, optimized geometry)
data_ZnCd4Hg
_chemical_formula_sum 'Zn4 Cd16 Hg4'
_space_group_name_H-M_alt 'F -4 3 m'
_space_group_IT_number 216
_space_group_name_Hall 'F -4 2 3'
_cell_length_a 8.281
_cell_length_b 8.281
_cell_length_c 8.281
_cell_angle_alpha 90.00
_cell_angle_beta 90.00
_cell_angle_gamma 90.00
loop_
_atom_site_label
_atom_site_fract_x
_atom_site_fract_y
_atom_site_fract_z
_atom_site_occupancy
Zn1 0.000 0.000 0.000 1
Cd1 0.125 0.125 0.625 1
Hg1 0.250 0.250 0.250 1
# Distance to the lowest polymorph of the same formula (eV/f.u.): 0.68
# Energy of formation (eV/atom): 0.16

# 4
# HfFe2RhS (PBE-GGA, optimized geometry)
data_HfFe2RhS
_chemical_formula_sum 'Hf1 Fe2 Rh1 S1'
_space_group_name_H-M_alt 'P 4/m m m'
_space_group_IT_number 123
_space_group_name_Hall '-P 4 2'
_cell_length_a 4.575
_cell_length_b 4.575
_cell_length_c 4.706
_cell_angle_alpha 90.00
_cell_angle_beta 90.00
_cell_angle_gamma 90.00
loop_
_atom_site_label
_atom_site_fract_x
_atom_site_fract_y
_atom_site_fract_z
_atom_site_occupancy
Hf1 0.000 0.000 0.000 1
Fe1 0.000 0.500 0.000 1
Rh1 0.500 0.500 0.500 1
S1 0.000 0.000 0.500 1
# Formation energy without anion corrections (meV/atom): 1238.3

# 5
# Na2Mg2Au (PBE-GGA, optimized geometry)
data_Na2Mg2Au
_chemical_formula_sum 'Na4 Mg4 Au2'
_space_group_name_H-M_alt 'P 4/m b m'
_space_group_IT_number 127
_space_group_name_Hall '-P 4 2ab'
_cell_length_a 7.045
_cell_length_b 7.045
_cell_length_c 5.414
_cell_angle_alpha 90.00
_cell_angle_beta 90.00
_cell_angle_gamma 90.00
loop_
_atom_site_label
_atom_site_fract_x
_atom_site_fract_y
_atom_site_fract_z
_atom_site_occupancy
Na1 0.174 0.326 0.000 1
Mg1 0.154 0.654 0.500 1
Au1 0.000 0.000 0.500 1
# Energy of formation (eV/atom): -0.12

# 6
# Ta7S12 (PBE-GGA, optimized geometry)
data_Ta7S12
_chemical_formula_sum 'Ta14 S24'
_space_group_name_H-M_alt 'C 1 2/m 1'
_space_group_IT_number 12
_cell_length_a 5.765
_cell_length_b 9.984
_cell_length_c 13.096
_cell_angle_alpha 90.00
_cell_angle_beta 98.39
_cell_angle_gamma 90.00
loop_
_space_group_symop_operation_xyz
'x,y,z'
'-x,-y,-z'
'-x,y,-z'
'x,-y,z'
'x+1/2,y+1/2,z'
'-x+1/2,-y+1/2,-z'
'-x+1/2,y+1/2,-z'
'x+1/2,-y+1/2,z'
loop_
_atom_site_label
_atom_site_fract_x
_atom_site_fract_y
_atom_site_fract_z
_atom_site_occupancy
Ta1 0.000 0.000 0.000 1
Ta2 0.081 0.000 0.245 1
Ta3 0.081 0.333 0.243 1
S1 0.207 0.167 0.119 1
S2 0.207 0.500 0.119 1
S3 0.212 0.333 0.636 1
S4 0.214 0.000 0.636 1
# Formation energy without anion corrections (meV/atom): -1073.9

# 7
# Sm2P7Rh12 (PBE-GGA, optimized geometry)
data_Sm2P7Rh12
_chemical_formula_sum 'Sm2 P7 Rh12'
_space_group_name_H-M_alt 'P -3'
_space_group_IT_number 147
_cell_length_a 9.6171
_cell_length_b 9.6171
_cell_length_c 3.8978
_cell_angle_alpha 90.00
_cell_angle_beta 90.00
_cell_angle_gamma 120.00
loop_
_space_group_symop_operation_xyz
'x,y,z'
'-x,-y,-z'
'-y,x-y,z'
'y,-x+y,-z'
'-x+y,-x,z'
'x-y,x,-z'
loop_
_atom_site_label
_atom_site_fract_x
_atom_site_fract_y
_atom_site_fract_z
_atom_site_occupancy
Sm1 0.3333 0.6667 0.2482 1
P1 0.0000 0.0000 0.0000 1
P2 0.1172 0.4041 0.7451 1
Rh1 0.0657 0.6185 0.7493 1
Rh2 0.1103 0.8496 0.2496 1
# Energy of formation (eV/atom): -0.92

# 8
# NbBi2Br2 (PBE-GGA, optimized geometry)
data_NbBi2Br2
_chemical_formula_sum 'Nb2 Bi4 Br4'
_space_group_name_H-M_alt 'P 4/m b m'
_space_group_IT_number 127
_space_group_name_Hall '-P 4 2ab'
_cell_length_a 9.200
_cell_length_b 9.200
_cell_length_c 3.322
_cell_angle_alpha 90.00
_cell_angle_beta 90.00
_cell_angle_gamma 90.00
loop_
_atom_site_label
_atom_site_fract_x
_atom_site_fract_y
_atom_site_fract_z
_atom_site_occupancy
Nb1 0.000 0.000 0.000 1
Bi1 0.194 0.306 0.500 1
Br1 0.120 0.620 0.000 1
# Formation energy without anion corrections (meV/atom): 620.8
# Distance to the lowest polymorph of the same formula (eV/f.u.): 0.08

| no. | total magnetic moment (μB/cell) |
| --- | --- |
| 1 | 2.4 |
| 2 | 0.0 |
| 3 | 0.0 |
| 4 | 5.1 |
| 5 | 0.0 |
| 6 | 1.0 |
| 7 | 0.0 |
| 8 | 4.4 |